Entry from the Alexandria database: a relaxed structure of TmPuPt3 (GGA-PBE).

The structure in POSCAR format:
```
TmPuPt3
1.0
-0.812 3.357 4.314
-5.927 -5.438 3.116
10.479 -0.197 2.126
Pt Tm Pu
12 4 4
Cartesian
2.601 -0.869 8.246 Pt
1.245 -2.451 3.912 Pt
-2.690 -0.725 5.368 Pt
9.448 0.169 3.417 Pt
0.732 0.270 3.468 Pt
5.513 1.895 4.873 Pt
3.008 -2.548 6.089 Pt
-5.709 -2.447 6.140 Pt
1.138 -1.409 1.311 Pt
-1.774 -4.173 4.684 Pt
6.429 -1.553 4.188 Pt
2.495 0.173 5.645 Pt
-1.408 -1.907 2.989 Tm
2.871 2.447 3.947 Tm
5.147 -0.372 6.568 Tm
0.868 -4.725 5.610 Tm
-4.526 -3.683 3.784 Pu
8.266 1.405 5.773 Pu
3.677 -1.063 3.289 Pu
0.063 -1.215 6.267 Pu
```

raw total energy: -8.34 eV per atom
total moment: 20.6 μB/cell
space-group type: No. 63
density of states at the Fermi level: 57.9 states/eV/cell
calculated volume: 411.74 Å³/cell


Entry from the Alexandria database: a relaxed structure of SmHo4Tm2 (GGA-PBE).

The structure in POSCAR format:
```
SmHo4Tm2
1.0
3.480 -0.249 0.309
-2.619 8.259 -3.502
0.937 -1.162 8.312
Ho Sm Tm
4 1 2
Cartesian
3.050 0.358 5.636 Ho
1.666 1.805 2.558 Ho
0.132 5.042 2.562 Ho
-1.252 6.490 -0.517 Ho
0.000 0.000 0.000 Sm
0.258 3.300 -0.222 Tm
1.540 3.548 5.342 Tm
```

raw total energy: -4.53 eV per atom
energy above the most stable polymorph in this dataset: 0 meV/atom
total moment: 0.0 μB/cell
space-group type: No. 12
density of states at the Fermi level: 10.6 states/eV/cell
calculated volume: 218.68 Å³/cell


Entry from the Alexandria database: a relaxed structure of KAl2Zn2 (GGA-PBE).

The structure in POSCAR format:
```
KAl2Zn2
1.0
-6.116 -4.743 -3.486
3.740 -7.013 2.981
-1.498 0.202 2.354
K Al Zn
2 4 4
Cartesian
0.000 0.000 0.000 K
-1.188 -5.878 -0.252 K
-2.457 -2.582 0.319 Al
-1.416 -8.973 1.529 Al
0.796 -5.016 2.598 Al
-4.669 -6.539 -0.749 Al
1.038 -7.624 1.314 Zn
-3.414 -4.132 -1.819 Zn
-2.769 -8.590 -1.027 Zn
0.394 -3.166 0.522 Zn
```

raw total energy: -2.12 eV per atom
energy above the most stable polymorph in this dataset: 55 meV/atom
total moment: 0.0 μB/cell
space-group type: No. 127
density of states at the Fermi level: 3.7 states/eV/cell
calculated volume: 201.53 Å³/cell


Entry from the Alexandria database: a relaxed structure of La2ZnPtO5 (GGA-PBE).

The structure in POSCAR format:
```
La2ZnPtO5
1.0
-4.293 1.698 3.262
-2.367 -6.637 0.339
3.931 -1.108 5.751
La O Zn Pt
4 10 2 2
Cartesian
-1.428 -5.358 5.809 La
-3.052 -3.847 2.884 La
0.323 -2.200 6.469 La
-1.301 -0.688 3.544 La
-1.379 -2.128 1.734 O
-3.842 -4.841 4.819 O
1.113 -1.206 4.534 O
-1.365 -3.023 4.676 O
0.803 -4.771 5.983 O
-1.689 -5.692 3.183 O
-1.040 -0.354 6.170 O
-3.533 -1.276 3.370 O
-2.147 0.849 1.631 O
-1.350 -3.919 7.619 O
0.782 -3.872 3.045 Zn
0.000 0.000 0.000 Zn
1.966 -0.554 2.876 Pt
-1.184 -3.318 0.170 Pt
```

formation energy without anion corrections: -1.927 eV per atom
raw total energy: -6.59 eV per atom
total moment: 0.0 μB/cell
space-group type: No. 127
density of states at the Fermi level: 14.0 states/eV/cell
calculated volume: 281.32 Å³/cell


Entry from the Alexandria database: a relaxed structure of K2AsPtS4 (GGA-PBE).

The structure in POSCAR format:
```
K2AsPtS4
1.0
-2.001 -0.468 -6.564
-5.217 -6.738 -1.533
-9.180 5.628 -1.206
S As K Pt
8 2 4 2
Cartesian
-10.147 -2.238 -7.528 S
-10.401 4.133 -2.499 S
-6.236 0.664 -1.720 S
-2.464 -1.570 -4.572 S
-7.479 0.588 -4.999 S
-4.981 -5.474 -3.467 S
-8.936 -2.170 -4.358 S
-14.952 -0.246 -8.066 S
-7.699 -0.672 -3.010 As
-1.001 -0.234 -3.282 As
-6.626 3.797 -1.854 K
-11.255 0.925 -5.644 K
-6.145 -2.737 -6.941 K
-4.556 1.363 -5.915 K
0.000 0.000 0.000 Pt
-8.700 -0.906 -6.292 Pt
```

formation energy without anion corrections: -0.509 eV per atom
raw total energy: -4.18 eV per atom
total moment: 2.1 μB/cell
space-group type: No. 70
density of states at the Fermi level: 9.7 states/eV/cell
calculated volume: 561.58 Å³/cell


Entry from the Alexandria database: a relaxed structure of P3IrO9 (GGA-PBE).

The structure in POSCAR format:
```
P3IrO9
1.0
-4.436 0.232 2.490
-0.887 -6.963 -1.453
5.387 -0.950 8.980
O P Ir
18 6 2
Cartesian
1.197 -1.591 7.425 O
-1.865 -6.084 0.138 O
1.057 -6.443 6.959 O
0.163 -5.764 9.252 O
0.956 -4.049 7.637 O
-1.133 -6.089 2.592 O
1.929 -1.597 9.878 O
-0.892 -3.631 2.379 O
-3.564 -6.353 2.054 O
-1.204 -5.325 7.086 O
-0.099 -1.917 0.764 O
-2.069 -4.660 4.417 O
3.628 -1.327 7.963 O
0.480 -4.954 4.130 O
-0.993 -1.238 3.057 O
-0.416 -2.726 5.886 O
1.268 -2.356 2.930 O
2.133 -3.021 5.599 O
0.944 -2.878 6.520 P
2.247 -1.047 8.508 P
0.131 -5.413 7.784 P
-0.067 -2.267 2.232 P
-0.880 -4.803 3.496 P
-2.183 -6.634 1.508 P
0.000 0.000 0.000 Ir
2.250 -3.956 3.763 Ir
```

formation energy without anion corrections: -1.759 eV per atom
raw total energy: -7.12 eV per atom
energy above the most stable polymorph in this dataset: 0 meV/atom
total moment: 0.0 μB/cell
space-group type: No. 2
density of states at the Fermi level: 0.0 states/eV/cell
calculated volume: 379.01 Å³/cell


Entry from the Alexandria database: a relaxed structure of ZnCd2Cl (GGA-PBE).

The structure in POSCAR format:
```
ZnCd2Cl
1.0
5.948 0.000 0.000
0.000 3.471 -0.221
0.000 0.282 4.651
Cl Zn Cd
1 1 2
Cartesian
0.000 2.352 2.739 Cl
2.974 2.336 2.812 Zn
0.000 0.484 0.490 Cd
2.974 0.457 0.604 Cd
```

formation energy without anion corrections: -0.093 eV per atom
raw total energy: -1.33 eV per atom
energy above the most stable polymorph in this dataset: 154 meV/atom
total moment: 0.0 μB/cell
space-group type: No. 6
density of states at the Fermi level: 1.6 states/eV/cell
calculated volume: 96.40 Å³/cell


Entry from the Alexandria database: a relaxed structure of Ba11Tl9Cd4 (GGA-PBE).

The structure in POSCAR format:
```
Ba11Tl9Cd4
1.0
4.313 0.000 0.000
0.000 14.099 -5.780
0.000 0.226 15.236
Ba Cd Tl
11 4 9
Cartesian
0.000 10.759 7.102 Ba
0.000 9.199 1.644 Ba
0.000 13.196 3.594 Ba
0.000 5.127 7.813 Ba
0.000 3.567 2.354 Ba
0.000 5.834 -1.265 Ba
0.000 1.130 5.862 Ba
0.000 8.491 10.721 Ba
0.000 2.587 11.660 Ba
0.000 11.738 -2.203 Ba
0.000 0.000 0.000 Ba
2.156 3.991 5.205 Cd
2.156 10.335 4.251 Cd
2.156 7.971 7.832 Cd
2.156 6.354 1.624 Cd
2.156 13.724 6.565 Tl
2.156 7.163 4.728 Tl
2.156 0.601 2.891 Tl
2.156 5.439 10.805 Tl
2.156 11.430 10.040 Tl
2.156 8.887 -1.348 Tl
2.156 2.895 -0.583 Tl
2.156 2.252 8.702 Tl
2.156 12.073 0.755 Tl
```

raw total energy: -2.26 eV per atom
total moment: 0.0 μB/cell
space-group type: No. 65
density of states at the Fermi level: 15.2 states/eV/cell
calculated volume: 932.04 Å³/cell


Entry from the Alexandria database: a relaxed structure of Mg2Os (GGA-PBE).

The structure in POSCAR format:
```
Mg2Os
1.0
2.694 0.000 0.000
0.000 6.973 0.000
0.000 0.000 6.946
Os Mg
2 4
Cartesian
0.000 0.000 0.000 Os
1.347 3.486 3.473 Os
1.347 5.329 1.676 Mg
0.000 5.130 5.149 Mg
0.000 1.842 1.797 Mg
1.347 1.644 5.270 Mg
```

raw total energy: -4.38 eV per atom
total moment: 0.0 μB/cell
space-group type: No. 58
density of states at the Fermi level: 4.5 states/eV/cell
calculated volume: 130.50 Å³/cell


Entry from the Alexandria database: a relaxed structure of Ce5As4Se (GGA-PBE).

The structure in POSCAR format:
```
Ce5As4Se
1.0
-3.366 -0.762 -2.423
1.333 -3.954 -0.608
-6.632 -2.070 13.532
Se As Ce
1 4 5
Cartesian
0.000 0.000 0.000 Se
-3.062 -1.772 4.810 As
-6.124 -3.546 9.622 As
-5.603 -5.014 5.691 As
-2.541 -3.241 0.879 As
-7.124 -5.894 8.079 Ce
-1.016 -2.358 -1.516 Ce
-4.589 -2.657 7.210 Ce
-1.541 -0.892 2.421 Ce
-4.076 -4.129 3.291 Ce
```

formation energy without anion corrections: -1.513 eV per atom
raw total energy: -6.69 eV per atom
energy above the most stable polymorph in this dataset: 3 meV/atom
total moment: 4.0 μB/cell
space-group type: No. 139
density of states at the Fermi level: 26.8 states/eV/cell
calculated volume: 265.28 Å³/cell


Entry from the Alexandria database: a relaxed structure of Pr3Ge3Os (GGA-PBE).

The structure in POSCAR format:
```
Pr3Ge3Os
1.0
4.363 0.000 0.657
2.158 5.645 0.486
0.183 -0.035 13.591
Ge Pr Os
6 6 2
Cartesian
6.038 4.883 4.342 Ge
0.665 0.727 10.392 Ge
2.491 4.708 13.079 Ge
4.212 0.902 1.656 Ge
5.438 4.183 8.325 Ge
1.265 1.427 6.409 Ge
1.713 1.453 3.437 Pr
3.110 1.875 8.974 Pr
3.594 3.735 5.760 Pr
2.520 1.542 12.892 Pr
4.184 4.068 1.842 Pr
4.991 4.157 11.297 Pr
3.533 0.396 6.164 Os
3.171 5.214 8.571 Os
```

raw total energy: -6.30 eV per atom
total moment: 0.0 μB/cell
space-group type: No. 12
density of states at the Fermi level: 9.4 states/eV/cell
calculated volume: 334.04 Å³/cell


Entry from the Alexandria database: a relaxed structure of Na2Sr3PaS6 (GGA-PBE).

The structure in POSCAR format:
```
Na2Sr3PaS6
1.0
-5.256 1.543 -4.775
-0.321 -6.134 3.883
-1.582 4.767 5.128
S Na Sr Pa
6 2 3 1
Cartesian
-6.240 1.323 1.870 S
-2.496 2.580 3.711 S
-4.696 -1.079 4.579 S
-2.463 1.255 -0.343 S
-0.919 -1.147 2.367 S
-4.663 -2.404 0.526 S
-1.973 -3.565 0.986 Na
-3.605 -1.026 -1.878 Na
-5.202 2.612 -0.729 Sr
-1.957 -2.436 4.965 Sr
-3.580 0.088 2.118 Sr
0.000 0.000 0.000 Pa
```

formation energy without anion corrections: -1.790 eV per atom
raw total energy: -5.29 eV per atom
total moment: 1.0 μB/cell
space-group type: No. 12
density of states at the Fermi level: 1.7 states/eV/cell
calculated volume: 309.35 Å³/cell


Entry from the Alexandria database: a relaxed structure of TmScSi2 (GGA-PBE).

The structure in POSCAR format:
```
TmScSi2
1.0
-2.158 3.118 -1.571
-3.145 -1.494 1.356
1.702 1.046 5.101
Sc Tm Si
1 1 2
Cartesian
0.114 3.277 3.875 Sc
-1.806 1.074 2.142 Tm
-0.452 0.665 4.832 Si
0.923 0.589 2.790 Si
```

formation energy without anion corrections: -0.810 eV per atom
raw total energy: -6.22 eV per atom
energy above the most stable polymorph in this dataset: 0 meV/atom
total moment: 0.0 μB/cell
space-group type: No. 38
density of states at the Fermi level: 2.7 states/eV/cell
calculated volume: 77.89 Å³/cell


Entry from the Alexandria database: a relaxed structure of DyHg2TeO6 (GGA-PBE).

The structure in POSCAR format:
```
DyHg2TeO6
1.0
5.781 0.000 0.000
2.890 5.006 0.000
2.890 1.669 4.936
O Dy Hg Te
6 1 2 1
Cartesian
6.387 1.788 4.023 O
4.135 3.588 4.024 O
8.065 3.219 1.420 O
6.820 4.638 4.024 O
4.537 1.418 1.419 O
4.741 5.374 1.419 O
8.671 5.006 2.723 Dy
2.890 1.669 3.976 Hg
5.781 3.337 1.471 Hg
2.890 1.669 0.254 Te
```

formation energy without anion corrections: -1.315 eV per atom
raw total energy: -5.12 eV per atom
total moment: 0.0 μB/cell
space-group type: No. 148
density of states at the Fermi level: 3.0 states/eV/cell
calculated volume: 142.83 Å³/cell


Entry from the Alexandria database: a relaxed structure of LaInW2 (GGA-PBE).

The structure in POSCAR format:
```
LaInW2
1.0
-5.323 -1.975 -0.686
3.484 -2.820 3.740
-0.991 0.959 2.555
In W La
1 2 1
Cartesian
1.246 -0.931 3.148 In
0.000 0.000 0.000 W
-3.157 -0.508 0.934 W
-0.920 -2.398 1.527 La
```

raw total energy: -7.59 eV per atom
total moment: 0.0 μB/cell
space-group type: No. 12
density of states at the Fermi level: 4.7 states/eV/cell
calculated volume: 81.97 Å³/cell


Entry from the Alexandria database: a relaxed structure of BeSe2BrCl (GGA-PBE).

The structure in POSCAR format:
```
BeSe2BrCl
1.0
5.020 0.000 0.000
0.000 5.020 0.000
0.000 0.000 5.145
Be Cl Se Br
1 1 2 1
Cartesian
2.510 2.510 2.573 Be
0.000 0.000 0.000 Cl
0.000 2.510 0.000 Se
2.510 0.000 0.000 Se
0.000 0.000 2.573 Br
```

formation energy without anion corrections: 1.191 eV per atom
raw total energy: -1.65 eV per atom
energy above the most stable polymorph in this dataset: 905 meV/atom
total moment: 0.4 μB/cell
space-group type: No. 123
density of states at the Fermi level: 3.6 states/eV/cell
calculated volume: 129.67 Å³/cell


Entry from the Alexandria database: a relaxed structure of Ba2NaSiGe (GGA-PBE).

The structure in POSCAR format:
```
Ba2NaSiGe
1.0
-0.799 -0.255 -6.379
-4.549 -1.730 0.639
-2.281 6.016 0.046
Ba Ge Na Si
2 1 1 1
Cartesian
-1.141 3.008 0.023 Ba
-0.400 -0.127 -3.189 Ba
-2.274 -0.865 0.319 Ge
-3.815 2.016 -2.847 Na
0.000 0.000 0.000 Si
```

formation energy without anion corrections: -0.034 eV per atom
raw total energy: -3.07 eV per atom
total moment: 0.0 μB/cell
space-group type: No. 123
density of states at the Fermi level: 3.8 states/eV/cell
calculated volume: 203.18 Å³/cell


Entry from the Alexandria database: a relaxed structure of Ca3Pd5Pb6 (GGA-PBE).

The structure in POSCAR format:
```
Ca3Pd5Pb6
1.0
4.592 0.000 0.000
0.000 10.332 0.000
0.000 0.000 14.196
Pd Pb Ca
10 12 6
Cartesian
0.000 8.789 9.304 Pd
2.296 4.669 8.659 Pd
2.296 1.543 2.205 Pd
0.000 5.663 12.636 Pd
2.296 4.669 5.538 Pd
2.296 1.543 11.991 Pd
0.000 8.789 4.893 Pd
2.296 2.115 7.098 Pd
0.000 5.663 1.560 Pd
0.000 8.217 0.000 Pd
0.000 10.142 2.267 Pb
2.296 4.284 2.541 Pb
2.296 0.190 4.831 Pb
0.000 10.142 11.929 Pb
2.296 10.060 0.000 Pb
0.000 0.272 7.098 Pb
0.000 6.048 4.557 Pb
2.296 0.190 9.366 Pb
2.296 6.388 0.000 Pb
2.296 4.284 11.655 Pb
0.000 3.944 7.098 Pb
0.000 6.048 9.639 Pb
2.296 7.526 7.098 Ca
0.000 2.576 10.018 Ca
2.296 7.756 2.920 Ca
0.000 2.806 0.000 Ca
0.000 2.576 4.178 Ca
2.296 7.756 11.276 Ca
```

raw total energy: -4.32 eV per atom
total moment: 0.0 μB/cell
space-group type: No. 59
density of states at the Fermi level: 12.5 states/eV/cell
calculated volume: 673.60 Å³/cell


Entry from the Alexandria database: a relaxed structure of K2TlTc2 (GGA-PBE).

The structure in POSCAR format:
```
K2TlTc2
1.0
11.054 4.406 3.920
8.519 4.292 8.122
-9.015 -6.644 -5.618
Tc K Tl
2 2 1
Cartesian
4.645 0.999 4.263 Tc
5.913 1.056 2.162 Tc
12.206 5.424 7.510 K
7.367 3.274 4.532 K
0.000 0.000 0.000 Tl
```

raw total energy: -4.46 eV per atom
total moment: 0.0 μB/cell
space-group type: No. 139
density of states at the Fermi level: 4.3 states/eV/cell
calculated volume: 148.00 Å³/cell


Entry from the Alexandria database: a relaxed structure of KSiNi2 (GGA-PBE).

The structure in POSCAR format:
```
KSiNi2
1.0
5.668 0.047 -0.970
5.010 2.650 -0.970
0.662 0.167 5.782
Ni K Si
2 1 1
Cartesian
2.551 0.644 0.980 Ni
9.843 2.486 -0.273 Ni
9.101 2.299 2.774 K
6.193 1.564 0.340 Si
```

formation energy without anion corrections: 0.124 eV per atom
raw total energy: -4.40 eV per atom
total moment: 0.0 μB/cell
space-group type: No. 8
density of states at the Fermi level: 2.0 states/eV/cell
calculated volume: 87.25 Å³/cell


Entry from the Alexandria database: a relaxed structure of Ta5Re (GGA-PBE).

The structure in POSCAR format:
```
Ta5Re
1.0
3.253 0.000 0.000
1.626 6.924 0.000
0.000 0.000 4.671
Ta Re
5 1
Cartesian
1.626 4.218 2.335 Ta
3.253 6.539 2.335 Ta
3.253 1.936 2.335 Ta
3.253 4.305 0.000 Ta
1.626 1.850 0.000 Ta
1.626 6.540 0.000 Re
```

raw total energy: -12.11 eV per atom
energy above the most stable polymorph in this dataset: 10 meV/atom
total moment: 0.0 μB/cell
space-group type: No. 65
density of states at the Fermi level: 6.8 states/eV/cell
calculated volume: 105.20 Å³/cell